No. 1
The following is a SCAN calculation of a crystal of TiCuSi3 relaxed with PBEsol, from Alexandria via LeMat-Bulk.

D(E_F) = 1.95 states/eV per cell
final energy = -11.27 eV per atom
size of the total moment = 0.0 μB/f.u.
theoretical density = 3.2 Mg/m³

Unit cell a=4.665 b=4.665 c=4.665 alpha=90.00 beta=90.00 gamma=90.00
Atoms (fractional coordinates):
Ti 0.000 0.000 0.000
Cu 0.500 0.500 0.500
Si 0.000 0.000 0.500
Si 0.000 0.500 0.000
Si 0.500 0.000 0.000

***

No. 2
The following is a SCAN calculation of a crystal of TlCuSi2 relaxed with PBEsol, from Alexandria via LeMat-Bulk.

D(E_F) = 1.45 states/eV per cell
final energy = -26.32 eV per atom
size of the total moment = 0.0 μB/f.u.
theoretical density = 7.9 Mg/m³

Unit cell a=5.829 b=5.829 c=5.829 alpha=152.38 beta=131.29 gamma=56.92
Atoms (fractional coordinates):
Tl 0.000 0.000 0.000
Cu 0.500 0.500 0.000
Si 0.292 0.792 0.500
Si 0.708 0.208 0.500

***

No. 3
The following is a SCAN calculation of a crystal of TlCu2Si relaxed with PBEsol, from Alexandria via LeMat-Bulk.

D(E_F) = 1.68 states/eV per cell
final energy = -27.83 eV per atom
size of the total moment = 0.0 μB/f.u.
theoretical density = 9.2 Mg/m³

Unit cell a=3.055 b=3.055 c=6.979 alpha=90.00 beta=90.00 gamma=90.00
Atoms (fractional coordinates):
Tl 0.000 0.000 0.000
Cu 0.000 0.000 0.469
Cu 0.500 0.500 0.287
Si 0.500 0.500 0.642

***

No. 4
The following is a SCAN calculation of a crystal of CuSiW2 relaxed with PBEsol, from Alexandria via LeMat-Bulk.

D(E_F) = 2.02 states/eV per cell
final energy = -40.91 eV per atom
size of the total moment = 0.0 μB/f.u.
theoretical density = 13.6 Mg/m³

Unit cell a=4.900 b=4.900 c=4.900 alpha=141.95 beta=128.50 gamma=65.80
Atoms (fractional coordinates):
Cu 0.000 0.000 0.000
Si 0.500 0.500 0.000
W 0.257 0.757 0.500
W 0.743 0.243 0.500

***

No. 5
The following is a SCAN calculation of a crystal of CuSi2W relaxed with PBEsol, from Alexandria via LeMat-Bulk.

D(E_F) = 1.64 states/eV per cell
final energy = -25.87 eV per atom
size of the total moment = 0.0 μB/f.u.
theoretical density = 9.3 Mg/m³

Unit cell a=2.652 b=2.652 c=7.728 alpha=90.00 beta=90.00 gamma=92.07
Atoms (fractional coordinates):
Cu 0.000 0.000 0.000
Si 0.000 0.000 0.491
Si 0.500 0.500 0.220
W 0.500 0.500 0.744

***

No. 6
The following is a SCAN calculation of a crystal of Cu2SiW relaxed with PBEsol, from Alexandria via LeMat-Bulk.

D(E_F) = 1.30 states/eV per cell
final energy = -27.31 eV per atom
size of the total moment = 0.0 μB/f.u.
theoretical density = 10.7 Mg/m³

Unit cell a=8.413 b=8.413 c=8.413 alpha=18.52 beta=18.52 gamma=18.52
Atoms (fractional coordinates):
Cu 0.000 0.000 0.000
Cu 0.252 0.252 0.252
Si 0.744 0.744 0.744
W 0.498 0.498 0.498

***

No. 7
The following is a SCAN calculation of a crystal of CuSiW2 relaxed with PBEsol, from Alexandria via LeMat-Bulk.

D(E_F) = 2.57 states/eV per cell
final energy = -40.82 eV per atom
size of the total moment = 0.0 μB/f.u.
theoretical density = 13.7 Mg/m³

Unit cell a=2.669 b=3.929 c=5.296 alpha=90.00 beta=90.00 gamma=90.00
Atoms (fractional coordinates):
Cu 0.000 0.000 0.000
Si 0.000 0.000 0.500
W 0.500 0.500 0.252
W 0.500 0.500 0.748

***

No. 8
The following is a SCAN calculation of a crystal of Cu2SiW relaxed with PBEsol, from Alexandria via LeMat-Bulk.

D(E_F) = 2.96 states/eV per cell
final energy = -27.22 eV per atom
size of the total moment = 0.0 μB/f.u.
theoretical density = 11.0 Mg/m³

Unit cell a=4.526 b=4.526 c=4.526 alpha=131.41 beta=131.41 gamma=71.16
Atoms (fractional coordinates):
Cu 0.000 0.000 0.000
Cu 0.750 0.250 0.500
Si 0.500 0.500 0.000
W 0.250 0.750 0.500